An optimized crystal structure of Rb2SmCd2O4, computed with PBE.

## Properties
Raw formation energy in eV per atom: -1.6102
Total energy in eV per atom: -4.7566
Calculated volume in Å³ per atom: 20.8

Unit cell a=3.631 b=10.338 c=7.959 alpha=138.07 beta=103.18 gamma=90.00
Fractional coordinates of all 9 atoms:
Rb 0.868 0.508 0.735
Rb 0.132 0.492 0.265
Cd 0.685 0.015 0.371
Cd 0.315 0.985 0.629
Sm 0.000 0.000 0.000
O 0.465 0.814 0.929
O 0.227 0.188 0.455
O 0.535 0.186 0.071
O 0.773 0.812 0.545